# 1
A relaxed structure of Cd2W4CN. Source: the Open Quantum Materials Database, functional GGA-PBE.

The structure belongs to space group P-3m1 (No. 164); the cell edges are 2.9262, 2.9262 and 15.3474 Å and the angles 90.00°, 90.00° and 120.00°. The inequivalent atoms are Cd at (0.3333, 0.6667, 0.2522), W at (0.3333, 0.6667, 0.5845), W at (0.3333, 0.6667, 0.9095), C at (0.0000, 0.0000, 0.5000) and N at (0.0000, 0.0000, 0.0000).

For the total magnetization, the calculation gives 0.00 μB per formula unit. The value obtained for the energy is -69.12 eV/cell. The calculation puts the density at 14.39 Mg/m³. As for the crystal system: trigonal.

# 2
A relaxed structure of Y3CdCN. Source: the Open Quantum Materials Database, functional GGA-PBE.

The structure belongs to space group P-3m1 (No. 164); the cell edges are 3.5367, 3.5367 and 22.0829 Å and the angles 90.00°, 90.00° and 120.00°. The inequivalent atoms are Y at (0.0000, 0.0000, 0.0000), Y at (0.0000, 0.0000, 0.5000), Y at (0.3333, 0.6667, 0.1230), Y at (0.3333, 0.6667, 0.3737), Cd at (0.0000, 0.0000, 0.2417), C at (0.3333, 0.6667, 0.5721) and N at (0.3333, 0.6667, 0.9338).

For the total magnetization, the calculation gives 0.27 μB per formula unit. The value obtained for the energy is -84.30 eV/cell. The calculation puts the density at 5.62 Mg/m³. As for the crystal system: trigonal.

# 3
A relaxed structure of Y8Cd2C3N3. Source: the Open Quantum Materials Database, functional GGA-PBE.

The structure belongs to space group P-3m1 (No. 164); the cell edges are 3.5263, 3.5263 and 27.9430 Å and the angles 90.00°, 90.00° and 120.00°. The inequivalent atoms are Y at (0.0000, 0.0000, 0.1474), Y at (0.0000, 0.0000, 0.3455), Y at (0.3333, 0.6667, 0.5533), Y at (0.3333, 0.6667, 0.9511), Cd at (0.3333, 0.6667, 0.7589), C at (0.0000, 0.0000, 0.5000), C at (0.3333, 0.6667, 0.3883), N at (0.0000, 0.0000, 0.0000) and N at (0.3333, 0.6667, 0.1035).

For the total magnetization, the calculation gives 0.29 μB per formula unit. The value obtained for the energy is -118.16 eV/cell. The calculation puts the density at 5.60 Mg/m³. As for the crystal system: trigonal.